# 1
Crystalline LiSb2Mo at its relaxed geometry, computed with GGA-PBE.

```
LiSb2Mo
1.0
-3.235 -2.506 3.594
-0.530 -4.540 2.960
2.189 1.885 3.292
Li Mo Sb
1 1 2
Cartesian
-0.376 -2.084 5.090
-0.861 -1.887 2.388
0.231 0.158 0.482
-1.360 -3.927 6.809
```

Output
For the relative energy among the computed polymorphs, the calculation gives 0.1302 eV per atom. Its volume is 19.475 Å³ per atom. For the total magnetization, the calculation gives 0.000 μB per atom. For the uncorrected formation energy, the calculation gives 28 meV/atom.

***

# 2
Crystalline LiSb2Mo at its relaxed geometry, computed with GGA-PBE.

```
LiSb2Mo
1.0
-1.626 -0.703 2.406
0.707 -2.666 -1.148
8.565 -0.196 5.732
Li Mo Sb
1 1 2
Cartesian
4.488 -0.103 3.004
5.829 -1.829 4.838
8.014 -0.183 5.364
2.162 -1.745 2.384
```

Output
For the relative energy among the computed polymorphs, the calculation gives 0.4095 eV per atom. Its volume is 22.400 Å³ per atom. For the total magnetization, the calculation gives 0.000 μB per atom. For the uncorrected formation energy, the calculation gives 307 meV/atom.

***

no.,E_tot (eV/atom)
1,-5.22
2,-4.94